1.
VASP calculation (PBE) on a geometry-optimized Cd2Bi2Rh3 structure.

Summary:
energy of formation from the pure elements: -96 meV/atom
VASP energy: -4.62 eV/atom
crystal system: triclinic

Unit cell a=4.6678 b=4.6802 c=7.8763 alpha=107.11 beta=90.18 gamma=119.71
Space group P-1 (No. 2)
Unique sites:
1 Cd 0.1358 0.2713 0.4072 x2
2 Bi 0.3895 0.7797 0.1672 x2
3 Rh 0.0000 0.0000 0.0000 x1
4 Rh 0.2618 0.5246 0.7873 x2



2.
VASP calculation (PBE) on a geometry-optimized CdBi3Rh structure.

Summary:
energy of formation from the pure elements: 282 meV/atom
VASP energy: -3.70 eV/atom
ΔE to the lowest computed polymorph: 170 kJ/mol of formula units
crystal system: cubic

Unit cell a=5.3606 b=5.3606 c=5.3606 alpha=90.00 beta=90.00 gamma=90.00
Space group Pm-3m (No. 221)
Unique sites:
1 Cd 0.0000 0.0000 0.0000 x1
2 Bi 0.0000 0.5000 0.5000 x3
3 Rh 0.5000 0.5000 0.5000 x1